No. 1
Compound: CuHRuRh2
Source: Alexandria via LeMat-Bulk
Functional: PBE-GGA
Structure: relaxed

extended XYZ file:
```
5
Lattice="3.896 0.000 0.000 0.000 3.896 0.000 0.000 0.000 3.813" Properties=species:S:1:pos:R:3 pbc="T T T"
Cu 0.000 0.000 0.000
H 0.000 0.000 1.906
Ru 1.948 1.948 0.000
Rh 0.000 1.948 1.906
Rh 1.948 0.000 1.906
```

Output
distance to the lowest polymorph of the same formula	0.0290	eV/atom
volume	57.9	Å³ per cell
SG	P4/mmm, No. 123

=====

No. 2
Compound: AcHoCuAu
Source: Alexandria via LeMat-Bulk
Functional: PBE-GGA
Structure: relaxed

extended XYZ file:
```
4
Lattice="0.000 3.717 3.717 3.717 0.000 3.717 3.717 3.717 0.000" Properties=species:S:1:pos:R:3 pbc="T T T"
Ac 0.000 0.000 0.000
Ho 3.717 3.717 3.717
Cu 5.575 5.575 5.575
Au 1.858 1.858 1.858
```

Output
volume	102.7	Å³ per cell
energy of formation from the pure elements	-41	kJ per mole of atoms
SG	F-43m, No. 216

=====

No. 3
Compound: IrRu2W
Source: Alexandria via LeMat-Bulk
Functional: PBE-GGA
Structure: relaxed

extended XYZ file:
```
4
Lattice="2.749 0.000 0.000 0.000 2.749 0.000 0.000 0.000 7.758" Properties=species:S:1:pos:R:3 pbc="T T T"
Ir 0.000 0.000 0.000
Ru 0.000 0.000 3.809
Ru 1.374 1.374 2.003
W 1.374 1.374 5.841
```

Output
distance to the lowest polymorph of the same formula	0.1597	eV/atom
volume	58.6	Å³ per cell
energy of formation from the pure elements	-2	kJ per mole of atoms
SG	P4mm, No. 99

=====

Quick rundown of total energy, same order as above: -6.09; -4.44; -10.11 eV/atom